Record 1
Entry from Alexandria via LeMat-Bulk: a relaxed structure of Ac3CeSm3Se8 (PBE). Values from VASP.

Cell and atoms, written as Quantum ESPRESSO input:
```
&SYSTEM
  ibrav = 0, nat = 15, ntyp = 4
/
ATOMIC_SPECIES
Ac 227.00 Ac.upf
Ce 140.12 Ce.upf
Sm 150.36 Sm.upf
Se 78.96 Se.upf
ATOMIC_POSITIONS angstrom
Ac 0.0000 0.0000 0.0000
Ac 1.0691 -3.2072 2.5974
Ac -2.5494 -1.0487 3.2521
Ce 2.2454 3.7143 0.1644
Sm -1.3731 5.8728 0.8191
Sm -0.3040 2.6656 3.4165
Sm 3.3145 0.5070 2.7618
Se 0.4498 -0.1825 3.0877
Se -1.0579 5.5137 3.7454
Se -3.1751 1.9846 3.6791
Se 2.5670 3.3466 3.1540
Se -4.2231 5.1214 1.1388
Se 3.6151 0.2098 5.6943
Se -0.6805 3.0081 0.4978
Se 0.0725 2.3230 6.3353
CELL_PARAMETERS angstrom
-7.2371 4.3171 1.3095
2.1382 -6.4144 5.1948
4.4908 7.4285 0.3288
```

ΔE_f (raw) = -1.860 eV/atom
V = 30.0 Å³/atom



Record 2
Entry from Alexandria via LeMat-Bulk: a relaxed structure of CaPmRu (PBE). Values from VASP.

Cell and atoms, written as Quantum ESPRESSO input:
```
&SYSTEM
  ibrav = 0, nat = 3, ntyp = 3
/
ATOMIC_SPECIES
Ru 101.07 Ru.upf
Ca 40.08 Ca.upf
Pm 145.00 Pm.upf
ATOMIC_POSITIONS angstrom
Ru 1.7562 1.7562 2.2934
Ca 0.0000 0.0000 0.4913
Pm 0.0000 0.0000 3.7986
CELL_PARAMETERS angstrom
3.5123 0.0000 0.0000
0.0000 3.5123 0.0000
-1.7562 -1.7562 6.5833
```

V = 27.1 Å³/atom
energy of formation from the pure elements = -4 kJ per mole of atoms



Record 3
Entry from Alexandria via LeMat-Bulk: a relaxed structure of HgICl5 (PBE). Values from VASP.

Cell and atoms, written as Quantum ESPRESSO input:
```
&SYSTEM
  ibrav = 0, nat = 14, ntyp = 3
/
ATOMIC_SPECIES
Hg 200.59 Hg.upf
I 126.90 I.upf
Cl 35.45 Cl.upf
ATOMIC_POSITIONS angstrom
Hg -5.7688 10.9818 4.4121
Hg -8.5165 4.6224 2.9092
I -4.5728 6.6265 4.5335
I -4.1196 -0.8880 2.6536
Cl -7.3702 5.2971 1.0080
Cl -1.3145 0.4419 6.1793
Cl -6.5395 -0.7360 2.9249
Cl -4.6196 -3.6673 2.1728
Cl -1.5496 -1.0889 2.3833
Cl -3.8651 1.4700 2.9332
Cl -7.1420 6.8337 4.8069
Cl -4.8321 4.2690 4.2534
Cl -4.0672 9.4039 5.0163
Cl -2.1539 6.4687 4.2590
CELL_PARAMETERS angstrom
-8.3499 3.5061 -1.3700
-2.9219 -5.2293 2.7757
2.5770 7.4908 5.7800
```

ΔE_f (raw) = -0.347 eV/atom
V = 37.3 Å³/atom



Respective total DFT energy (no corrections) values: -88.20; -16.17; -13.52 eV per formula unit.